(1)
A relaxed structure of CrReRh, computed with PBE-GGA. Values from VASP.

```
&SYSTEM
  ibrav = 0, nat = 3, ntyp = 3
/
ATOMIC_SPECIES
Cr 52.00 Cr.upf
Re 186.21 Re.upf
Rh 102.91 Rh.upf
ATOMIC_POSITIONS angstrom
Cr 0.0000 0.0000 0.0000
Re 0.0000 0.0000 7.5327
Rh 0.0000 0.0000 3.8462
CELL_PARAMETERS angstrom
-1.3449 1.3449 5.6793
1.3449 -1.3449 5.6793
1.3449 1.3449 -5.6793
```

theoretical density = 13.79 g/cm3
magnetization = 0.006 μB per atom

---

(2)
A relaxed structure of CrReRh, computed with PBE-GGA. Values from VASP.

```
&SYSTEM
  ibrav = 0, nat = 6, ntyp = 3
/
ATOMIC_SPECIES
Cr 52.00 Cr.upf
Re 186.21 Re.upf
Rh 102.91 Rh.upf
ATOMIC_POSITIONS angstrom
Cr 0.7609 0.0000 0.7586
Cr 2.8243 0.0000 10.2063
Re 0.8114 0.0000 4.5317
Re 2.7738 0.0000 6.4332
Rh 0.7934 0.0000 8.4031
Rh 2.7918 0.0000 2.5617
CELL_PARAMETERS angstrom
1.9372 -1.9422 0.0000
1.9372 1.9422 0.0000
-0.2892 0.0000 10.9648
```

theoretical density = 13.73 g/cm3
magnetization = 0.000 μB per atom

---

(3)
A relaxed structure of CrReRh, computed with PBE-GGA. Values from VASP.

```
&SYSTEM
  ibrav = 0, nat = 3, ntyp = 3
/
ATOMIC_SPECIES
Cr 52.00 Cr.upf
Re 186.21 Re.upf
Rh 102.91 Rh.upf
ATOMIC_POSITIONS angstrom
Cr 0.0000 0.0000 0.0000
Re 1.4295 1.4295 1.4295
Rh 4.2884 4.2884 4.2884
CELL_PARAMETERS angstrom
0.0000 2.8589 2.8589
2.8589 0.0000 2.8589
2.8589 2.8589 0.0000
```

theoretical density = 12.12 g/cm3
magnetization = 0.000 μB per atom

---

(4)
A relaxed structure of Cr2ReRh6, computed with PBE-GGA. Values from VASP.

```
&SYSTEM
  ibrav = 0, nat = 9, ntyp = 3
/
ATOMIC_SPECIES
Cr 52.00 Cr.upf
Re 186.21 Re.upf
Rh 102.91 Rh.upf
ATOMIC_POSITIONS angstrom
Cr 0.6613 0.0000 2.9102
Cr 7.2207 0.0000 4.2388
Re 4.1457 0.0000 0.0000
Rh 1.3627 0.0000 0.4455
Rh 2.0191 0.0000 5.0845
Rh 3.2338 0.0000 2.5033
Rh 4.6482 0.0000 4.6457
Rh 5.8629 0.0000 2.0645
Rh 6.5193 0.0000 6.7035
CELL_PARAMETERS angstrom
4.1457 -2.1631 0.0000
4.1457 2.1631 0.0000
-0.4095 0.0000 7.1490
```

theoretical density = 11.75 g/cm3
magnetization = 0.000 μB per atom

---

In the order shown, the computed D(E_F) values come out to 1.373, 1.039, 1.718, 1.098 states/eV per atom.
In the order shown, the computed energy of formation values come out to 4.4, 3.5, 52.5, 11.2 kJ per mole of atoms.
In the order shown, the computed total DFT energy (no corrections) values come out to -29.29, -58.63, -27.79, -74.76 eV/cell.